[1]
# DyZr2Nb, optimized geometry, DFT PBE-GGA
# total magnetization	0.001	μB per cell
# formation enthalpy at 0 K	0.23	eV per atom
# Fermi-level density of states	1.73	states/eV per atom
# calculated total energy	-92.56	eV per cell
data_DyZr2Nb
_symmetry_space_group_name_H-M 'R -3 m'
_symmetry_Int_Tables_number 166
_symmetry_space_group_name_Hall '-R 3 2"'
_cell_length_a 3.2313
_cell_length_b 3.2313
_cell_length_c 31.2461
_cell_angle_alpha 90.00
_cell_angle_beta 90.00
_cell_angle_gamma 120.00
loop_
_atom_site_label
_atom_site_fract_x
_atom_site_fract_y
_atom_site_fract_z
Dy1 0.0000 0.0000 0.0000
Zr1 0.0000 0.0000 0.2422
Nb1 0.0000 0.0000 0.5000

---

[2]
# TaAl2V, optimized geometry, DFT PBE-GGA
# total magnetization	0.000	μB per cell
# formation enthalpy at 0 K	0.30	eV per atom
# Fermi-level density of states	0.53	states/eV per atom
# calculated total energy	-109.10	eV per cell
data_TaAl2V
_symmetry_space_group_name_H-M 'I -4 2 d'
_symmetry_Int_Tables_number 122
_symmetry_space_group_name_Hall 'I -4 2bw'
_cell_length_a 7.041
_cell_length_b 7.041
_cell_length_c 5.392
_cell_angle_alpha 90.00
_cell_angle_beta 90.00
_cell_angle_gamma 90.00
loop_
_atom_site_label
_atom_site_fract_x
_atom_site_fract_y
_atom_site_fract_z
Ta1 0.000 0.000 0.000
Al1 0.234 0.250 0.625
V1 0.000 0.000 0.500

---

[3]
# CuAsPb2, optimized geometry, DFT PBE-GGA
# total magnetization	0.000	μB per cell
# formation enthalpy at 0 K	0.42	eV per atom
# Fermi-level density of states	0.84	states/eV per atom
# calculated total energy	-57.93	eV per cell
data_CuAsPb2
_symmetry_space_group_name_H-M 'F -4 3 m'
_symmetry_Int_Tables_number 216
_symmetry_space_group_name_Hall 'F -4 2 3'
_cell_length_a 7.296
_cell_length_b 7.296
_cell_length_c 7.296
_cell_angle_alpha 90.00
_cell_angle_beta 90.00
_cell_angle_gamma 90.00
loop_
_atom_site_label
_atom_site_fract_x
_atom_site_fract_y
_atom_site_fract_z
Cu1 0.000 0.000 0.000
As1 0.250 0.250 0.750
Pb1 0.000 0.000 0.500
Pb2 0.250 0.250 0.250

---

[4]
# Na2UTaN4, optimized geometry, DFT PBE-GGA
# total magnetization	0.843	μB per cell
# Fermi-level density of states	0.37	states/eV per atom
# formation energy from raw total energies	-0.9607	eV per atom
# calculated total energy	-66.77	eV per cell
data_Na2UTaN4
_symmetry_space_group_name_H-M 'P 1 2/m 1'
_symmetry_Int_Tables_number 10
_cell_length_a 5.728
_cell_length_b 3.311
_cell_length_c 6.007
_cell_angle_alpha 90.00
_cell_angle_beta 107.93
_cell_angle_gamma 90.00
loop_
_symmetry_equiv_pos_as_xyz
'x,y,z'
'-x,-y,-z'
'-x,y,-z'
'x,-y,z'
loop_
_atom_site_label
_atom_site_fract_x
_atom_site_fract_y
_atom_site_fract_z
Na1 0.000 0.000 0.000
Na2 0.500 0.500 0.000
U1 0.000 0.500 0.500
Ta1 0.500 0.000 0.500
N1 0.246 0.000 0.691
N2 0.278 0.500 0.313

---

[5]
# ZrAg2P, optimized geometry, DFT PBE-GGA
# total magnetization	0.000	μB per cell
# formation enthalpy at 0 K	-0.13	eV per atom
# Fermi-level density of states	0.44	states/eV per atom
# calculated total energy	-40.35	eV per cell
data_ZrAg2P
_symmetry_space_group_name_H-M 'C 1 m 1'
_symmetry_Int_Tables_number 8
_cell_length_a 9.723
_cell_length_b 2.965
_cell_length_c 5.559
_cell_angle_alpha 90.00
_cell_angle_beta 112.89
_cell_angle_gamma 90.00
loop_
_symmetry_equiv_pos_as_xyz
'x,y,z'
'x,-y,z'
'x+1/2,y+1/2,z'
'x+1/2,-y+1/2,z'
loop_
_atom_site_label
_atom_site_fract_x
_atom_site_fract_y
_atom_site_fract_z
Zr1 0.000 0.000 0.000
Ag1 0.199 0.000 0.625
Ag2 0.429 0.000 0.454
P1 0.244 0.500 0.056

---

[6]
# Cr2TeIr2, optimized geometry, DFT PBE-GGA
# total magnetization	8.526	μB per cell
# Fermi-level density of states	1.21	states/eV per atom
# formation energy from raw total energies	0.2022	eV per atom
# calculated total energy	-78.20	eV per cell
data_Cr2TeIr2
_symmetry_space_group_name_H-M 'P 4/m b m'
_symmetry_Int_Tables_number 127
_symmetry_space_group_name_Hall '-P 4 2ab'
_cell_length_a 7.505
_cell_length_b 7.505
_cell_length_c 2.865
_cell_angle_alpha 90.00
_cell_angle_beta 90.00
_cell_angle_gamma 90.00
loop_
_atom_site_label
_atom_site_fract_x
_atom_site_fract_y
_atom_site_fract_z
Cr1 0.160 0.340 0.000
Te1 0.000 0.000 0.500
Ir1 0.132 0.632 0.500